Compound: CsPuBr2
Source: Alexandria
Functional: PBE-GGA
Structure: optimized geometry

```
CsPuBr2
1.0
-3.373 -2.768 -0.100
0.474 -4.073 1.495
-3.858 0.899 10.047
Cs Br Pu
1 2 1
Direct
0.000 0.000 0.000 Cs
0.113 0.113 0.661 Br
0.887 0.887 0.339 Br
0.500 0.500 0.500 Pu
```

Results
Its magnetic moment is 6.53 μB/cell. The energy relative to the elements, uncorrected is -100.3 kJ/mol of atoms. The total energy comes out at -5.672 eV/atom.

=====

Compound: Cs2Pu3Br9
Source: Alexandria
Functional: PBE-GGA
Structure: optimized geometry

```
Cs2Pu3Br9
1.0
-5.658 -8.801 -3.709
9.552 4.134 -3.860
6.747 -2.317 11.124
Cs Pu Br
4 6 18
Direct
0.302 0.276 0.774 Cs
0.698 0.724 0.226 Cs
0.002 0.528 0.726 Cs
0.998 0.472 0.274 Cs
0.500 0.000 0.000 Pu
0.500 0.500 0.500 Pu
0.728 0.063 0.498 Pu
0.272 0.937 0.502 Pu
0.065 0.230 0.002 Pu
0.935 0.770 0.998 Pu
0.340 0.958 0.750 Br
0.660 0.042 0.250 Br
0.707 0.590 0.750 Br
0.293 0.410 0.250 Br
0.313 0.517 0.955 Br
0.687 0.483 0.045 Br
0.062 0.358 0.545 Br
0.938 0.642 0.455 Br
0.870 0.120 0.750 Br
0.130 0.880 0.250 Br
0.230 0.096 0.004 Br
0.770 0.904 0.996 Br
0.591 0.226 0.496 Br
0.409 0.774 0.504 Br
0.778 0.831 0.509 Br
0.222 0.169 0.491 Br
0.821 0.269 0.991 Br
0.179 0.731 0.009 Br
```

Results
Its magnetic moment is 34.00 μB/cell. The energy relative to the elements, uncorrected is -147.5 kJ/mol of atoms. The total energy comes out at -5.797 eV/atom.

=====

Compound: Cs3Pu2Br8
Source: Alexandria
Functional: PBE-GGA
Structure: optimized geometry

```
Cs3Pu2Br8
1.0
8.052 0.198 -2.871
-1.531 7.439 -3.780
0.435 0.190 9.717
Cs Pu Br
3 2 8
Direct
0.500 0.000 0.000 Cs
0.000 0.272 0.000 Cs
0.000 0.728 0.000 Cs
0.645 0.737 0.474 Pu
0.355 0.263 0.526 Pu
0.236 0.399 0.797 Br
0.764 0.601 0.203 Br
0.987 0.844 0.689 Br
0.013 0.156 0.311 Br
0.405 0.899 0.290 Br
0.405 0.391 0.290 Br
0.595 0.609 0.710 Br
0.595 0.101 0.710 Br
```

Results
Its magnetic moment is 11.00 μB/cell. The energy relative to the elements, uncorrected is -153.8 kJ/mol of atoms. The total energy comes out at -5.025 eV/atom.

=====

Compound: CsPu2Br4
Source: Alexandria
Functional: PBE-GGA
Structure: optimized geometry

```
CsPu2Br4
1.0
4.606 0.000 0.000
-2.303 6.967 0.000
0.000 0.000 15.139
Cs Pu Br
2 4 8
Direct
0.608 0.215 0.750 Cs
0.392 0.785 0.250 Cs
0.128 0.256 0.446 Pu
0.872 0.744 0.946 Pu
0.128 0.256 0.054 Pu
0.872 0.744 0.554 Pu
0.758 0.515 0.112 Br
0.758 0.515 0.388 Br
0.242 0.485 0.888 Br
0.242 0.485 0.612 Br
0.914 0.829 0.750 Br
0.086 0.171 0.250 Br
0.500 0.000 0.000 Br
0.500 0.000 0.500 Br
```

Results
Its magnetic moment is 25.96 μB/cell. The energy relative to the elements, uncorrected is -124.7 kJ/mol of atoms. The total energy comes out at -6.466 eV/atom.